A plane-wave DFT calculation with PBE was carried out for a relaxed structure of AcSc2Pb2.

Cell: 7.512 7.512 7.512 Å, 143.22 143.22 53.00°
Fractional coordinates of all 5 atoms:
Ac 0.000 0.000 0.000
Sc 0.250 0.750 0.500
Sc 0.750 0.250 0.500
Pb 0.385 0.385 0.000
Pb 0.615 0.615 0.000

Computed properties:
The value obtained for the calculated total energy is -5.26 eV/atom. The formation energy is -9.8 kcal/mol of atoms. The density of states at the Fermi level comes out at 0.89 states/eV per atom. As for the crystal system: tetragonal. Its mass density is 8.041 g cm⁻³.